Sm2ThAs3 | GGA-PBE | optimized geometry

- SG = C2/m
- calculated formation energy (eV/atom) = -1.3134
- calculated volume (Å³ per atom) = 27.74
- relative energy among the computed polymorphs (meV per atom) = 194

abc: 4.1963 8.4117 10.2849
angles: 108.14 90.00 104.44
Last column: nearest neighbours and their distance in Å.
Fractional coordinates of all 12 atoms:
As  0.3066  0.6132  0.8610  1 Th 3.01, 5 Sm 3.01-3.03
As  0.6379  0.2757  0.5274  4 Sm 3.01-3.05, 2 Th 3.02
As  0.0280  0.0560  0.8055  3 Th 3.03, 3 Sm 3.06
Sm  0.6695  0.3390  0.8358  6 As 3.01-3.06
Sm  0.1686  0.3372  0.3349  6 As 3.01-3.06
Th  0.5000  0.0000  0.0000  6 As 3.01-3.03
As  0.9720  0.9440  0.1945  3 Th 3.03, 3 Sm 3.06
Sm  0.3305  0.6610  0.1642  6 As 3.01-3.06
As  0.3621  0.7243  0.4726  4 Sm 3.01-3.05, 2 Th 3.02
Sm  0.8314  0.6628  0.6651  6 As 3.01-3.06
As  0.6934  0.3868  0.1390  1 Th 3.01, 5 Sm 3.01-3.03
Th  0.0000  0.0000  0.5000  6 As 3.02-3.03